Here is a relaxed CaLa2Se4 crystal from the Alexandria database. Energies are from PBE.

## Properties
For the density, the calculation gives 4.89 g/cm³. Its uncorrected formation energy is -1.957 eV/atom. The space group is Cmcm, No. 63. The value obtained for the distance to the lowest polymorph of the same formula is 0.53 eV/f.u.

Geometry as POSCAR:
```
CaLa2Se4
1.0
2.121 -7.076 0.000
2.121 7.076 0.000
0.000 0.000 14.330
Ca La Se
2 4 8
direct
0.115 0.885 0.750
0.885 0.115 0.250
0.367 0.633 0.574
0.367 0.633 0.926
0.633 0.367 0.074
0.633 0.367 0.426
0.000 0.000 0.000
0.000 0.000 0.500
0.275 0.725 0.121
0.275 0.725 0.379
0.474 0.526 0.750
0.526 0.474 0.250
0.725 0.275 0.621
0.725 0.275 0.879
```